[1]
DFT (GGA-PBE) results for TbErTlIr after structural relaxation.

abc: 3.4554 3.4554 8.0554
angles: 90.00 90.00 90.00
Element x y z (fractional)
Er (0.5000, 0.5000, 0.3666)
Tl (0.0000, 0.0000, 0.0751)
Tb (0.5000, 0.5000, 0.7767)
Ir (0.0000, 0.0000, 0.5664)

Computed properties:
Formation energy: -0.62 eV per atom
Volume: 24.0 A^3/atom
VASP energy: -22.893 eV for the cell shown
SG: P4mm

[2]
DFT (GGA-PBE) results for Nd3BiP2 after structural relaxation.

abc: 4.8594 7.4765 10.2010
angles: 90.00 90.00 108.96
Element x y z (fractional)
P (0.0000, 0.0000, 0.0000)
P (0.4870, 0.9741, 0.2500)
P (0.5130, 0.0259, 0.7500)
P (0.0000, 0.0000, 0.5000)
Nd (0.3805, 0.7609, 0.9444)
Nd (0.3805, 0.7609, 0.5556)
Nd (0.0951, 0.1901, 0.7500)
Nd (0.6195, 0.2391, 0.4444)
Nd (0.9049, 0.8099, 0.2500)
Nd (0.6195, 0.2391, 0.0556)
Bi (0.2306, 0.4613, 0.2500)
Bi (0.7694, 0.5387, 0.7500)

Computed properties:
Formation energy: -0.98 eV per atom
Volume: 29.2 A^3/atom
VASP energy: -69.761 eV for the cell shown
SG: Cmcm

[3]
DFT (GGA-PBE) results for AsSe2N2 after structural relaxation.

abc: 4.2297 4.2297 4.0378
angles: 90.00 90.00 90.00
Element x y z (fractional)
N (0.0000, 0.0000, 0.5000)
N (0.0000, 0.0000, 0.0000)
Se (0.0000, 0.5000, 0.0000)
Se (0.5000, 0.0000, 0.0000)
As (0.5000, 0.5000, 0.5000)

Computed properties:
Uncorrected formation energy: 1.678 eV per atom
Volume: 14.4 A^3/atom
VASP energy: -19.877 eV for the cell shown
SG: P4/mmm

[4]
DFT (GGA-PBE) results for HfInGaF6 after structural relaxation.

abc: 6.3855 6.3849 5.2653
angles: 90.07 89.93 59.12
Element x y z (fractional)
Ga (0.6668, 0.6668, 0.4998)
F (0.0618, 0.5997, 0.7095)
F (0.5920, 0.3380, 0.7155)
F (0.3387, 0.0689, 0.7138)
F (0.6000, 0.0621, 0.2906)
F (0.0692, 0.3381, 0.2862)
F (0.3374, 0.5923, 0.2846)
In (0.0003, 0.0004, 0.9999)
Hf (0.3337, 0.3337, 0.5000)

Computed properties:
Uncorrected formation energy: -2.863 eV per atom
Volume: 20.5 A^3/atom
VASP energy: -52.712 eV for the cell shown
SG: C2

[5]
DFT (GGA-PBE) results for Te2IrI after structural relaxation.

abc: 6.8572 5.7021 5.5300
angles: 59.05 112.23 65.38
Element x y z (fractional)
Te (0.8384, 0.9854, 0.3563)
Te (0.8376, 0.6251, 0.0785)
Ir (0.3380, 0.3052, 0.2174)
I (0.3380, 0.8052, 0.2174)

Computed properties:
Uncorrected formation energy: -0.075 eV per atom
Volume: 27.4 A^3/atom
VASP energy: -16.994 eV for the cell shown
SG: Cmmm

[6]
DFT (GGA-PBE) results for Tm2FeTc3 after structural relaxation.

abc: 5.2550 5.2550 5.3772
angles: 90.02 119.23 120.00
Element x y z (fractional)
Tm (0.2479, 0.6240, 0.8719)
Tm (0.7521, 0.3760, 0.1281)
Tc (0.0000, 0.0000, 0.5000)
Tc (0.5000, 0.5000, 0.5000)
Tc (0.5000, 0.0000, 0.5000)
Fe (0.0000, 0.0000, 0.0000)

Computed properties:
Formation energy: -0.21 eV per atom
Volume: 17.7 A^3/atom
VASP energy: -49.750 eV for the cell shown
SG: R-3m

[7]
DFT (GGA-PBE) results for Na2As2Br7 after structural relaxation.

abc: 7.3575 7.7402 7.7402
angles: 106.34 93.47 93.47
Element x y z (fractional)
Br (0.8043, 0.9377, 0.6064)
Br (0.1957, 0.3936, 0.0623)
Br (0.8043, 0.6064, 0.9377)
Br (0.7376, 0.4072, 0.4072)
Br (0.2624, 0.5928, 0.5928)
Br (0.1957, 0.0623, 0.3936)
Br (0.5000, 0.0000, 0.0000)
As (0.6074, 0.7337, 0.7337)
As (0.3926, 0.2663, 0.2663)
Na (0.0000, 0.3218, 0.6782)
Na (0.0000, 0.6782, 0.3218)

Computed properties:
Uncorrected formation energy: -0.685 eV per atom
Volume: 38.3 A^3/atom
VASP energy: -31.186 eV for the cell shown
SG: C2/m

[8]
DFT (GGA-PBE) results for Tb2Sm6Hg after structural relaxation.

abc: 3.5806 9.4957 9.9639
angles: 118.46 90.08 90.00
Element x y z (fractional)
Sm (0.0006, 0.6626, 0.6737)
Sm (0.9994, 0.3374, 0.3263)
Sm (0.0006, 0.0111, 0.6737)
Sm (0.5000, 0.2937, 0.0000)
Sm (0.5000, 0.7063, 0.0000)
Sm (0.9994, 0.9889, 0.3263)
Hg (0.0000, 0.0000, 0.0000)
Tb (0.4984, 0.6787, 0.3575)
Tb (0.5016, 0.3213, 0.6425)

Computed properties:
Formation energy: 0.04 eV per atom
Volume: 33.1 A^3/atom
VASP energy: -37.523 eV for the cell shown
SG: C2/m

[9]
DFT (GGA-PBE) results for NpCd2Pd8 after structural relaxation.

abc: 4.1666 6.3781 7.5878
angles: 104.90 105.94 90.00
Element x y z (fractional)
Np (0.5000, 0.0000, 0.0000)
Pd (0.8639, 0.8200, 0.7278)
Pd (0.4100, 0.5473, 0.8199)
Pd (0.5900, 0.4527, 0.1801)
Pd (0.9576, 0.2737, 0.9153)
Pd (0.6794, 0.9123, 0.3589)
Pd (0.1361, 0.1800, 0.2722)
Pd (0.0424, 0.7263, 0.0847)
Pd (0.3206, 0.0877, 0.6411)
Cd (0.2235, 0.6458, 0.4470)
Cd (0.7765, 0.3542, 0.5530)

Computed properties:
Formation energy: -0.34 eV per atom
Volume: 17.0 A^3/atom
VASP energy: -60.084 eV for the cell shown
SG: C2/m

[10]
DFT (GGA-PBE) results for PtBr2 after structural relaxation.

abc: 7.3175 7.3175 8.7646
angles: 90.00 90.00 151.26
Element x y z (fractional)
Br (0.2828, 0.7172, 0.0000)
Br (0.7284, 0.2716, 0.5000)
Br (0.0494, 0.9506, 0.0000)
Br (0.4950, 0.5050, 0.5000)
Pt (0.1117, 0.8883, 0.5000)
Pt (0.6660, 0.3340, 0.0000)

Computed properties:
Uncorrected formation energy: -0.169 eV per atom
Volume: 37.6 A^3/atom
VASP energy: -19.789 eV for the cell shown
SG: Cmcm

[11]
DFT (GGA-PBE) results for LiTa2W after structural relaxation.

abc: 5.2232 5.2232 5.2232
angles: 142.52 129.09 64.91
Element x y z (fractional)
Ta (0.0047, 0.0047, 0.0000)
Ta (0.7395, 0.2395, 0.5000)
W (0.4985, 0.4985, 0.0000)
Li (0.2573, 0.7573, 0.5000)

Computed properties:
Formation energy: 0.37 eV per atom
Volume: 16.6 A^3/atom
VASP energy: -37.085 eV for the cell shown
SG: Imm2

[12]
DFT (GGA-PBE) results for Re6Os3Ru after structural relaxation.

abc: 5.0345 7.8597 8.0786
angles: 90.00 90.03 90.00
Element x y z (fractional)
Re (0.9999, 0.6588, 0.0628)
Re (0.2605, 0.8906, 0.2500)
Re (0.4999, 0.8412, 0.5628)
Re (0.2395, 0.3906, 0.2500)
Re (0.5003, 0.1594, 0.0605)
Re (0.0001, 0.3412, 0.9372)
Re (0.7395, 0.1094, 0.7500)
Re (0.0003, 0.3406, 0.5605)
Re (0.5001, 0.1588, 0.4372)
Re (0.9997, 0.6594, 0.4395)
Re (0.7605, 0.6094, 0.7500)
Re (0.4997, 0.8406, 0.9395)
Os (0.0000, 0.0000, 0.5000)
Os (0.7692, 0.3821, 0.2499)
Os (0.7308, 0.8821, 0.2501)
Os (0.5000, 0.5000, 0.0000)
Os (0.2692, 0.1179, 0.7499)
Os (0.2308, 0.6179, 0.7501)
Ru (0.0000, 0.0000, 0.0000)
Ru (0.5000, 0.5000, 0.5000)

Computed properties:
Formation energy: 0.55 eV per atom
Volume: 16.0 A^3/atom
VASP energy: -224.392 eV for the cell shown
SG: P2_1/c